Here is PrDy5In3 after structural relaxation from the Alexandria database. Energies are from GGA-PBE.

**Spin magnetization**: 0.00 μB/atom
**Crystal system**: tetragonal
**ΔE_f**: -0.098 eV/atom

Cell lengths 8.5407, 8.5407, 9.3681 Å; angles 117.12, 117.12, 90.00 degrees
Last column: nearest neighbours and their distance in Å.
Element x y z (fractional)
Dy: 0.5731 0.6596 0.7327  1 In 2.91, 1 Pr 3.00
In: 0.6113 0.1113 0.0000  1 In 2.69, 2 Dy 2.91
In: 0.3887 0.8887 0.0000  1 In 2.69, 2 Dy 2.91
Dy: 0.5000 0.5000 0.0000  6 In 3.45-3.58, 8 Dy 3.61
Pr: 0.2500 0.7500 0.5000  4 Dy 3.00
Dy: 0.0000 0.0000 0.0000  6 In 3.45-3.58, 8 Dy 3.61
Pr: 0.7500 0.2500 0.5000  4 Dy 3.00
Dy: 0.1596 0.0731 0.7327  1 In 2.91, 1 Pr 3.00
Dy: 0.4269 0.3404 0.2673  1 In 2.91, 1 Pr 3.00
In: 0.2500 0.2500 0.5000  10 Dy 3.49-3.58
Dy: 0.6596 0.1596 0.7327  1 In 2.91, 1 Pr 3.00
Dy: 0.3404 0.8404 0.2673  1 In 2.91, 1 Pr 3.00
Dy: 0.9269 0.4269 0.2673  1 In 2.91, 1 Pr 3.00
In: 0.1113 0.3887 0.0000  1 In 2.69, 2 Dy 2.91
In: 0.7500 0.7500 0.5000  10 Dy 3.49-3.58
In: 0.8887 0.6113 0.0000  1 In 2.69, 2 Dy 2.91
Dy: 0.8404 0.9269 0.2673  1 In 2.91, 1 Pr 3.00
Dy: 0.0731 0.5731 0.7327  1 In 2.91, 1 Pr 3.00

---

Here is Li2HoTeS4 after structural relaxation from the Alexandria database. Energies are from GGA-PBE.

**Spin magnetization**: 0.00 μB/atom
**Crystal system**: monoclinic
**Raw formation energy**: -1072 meV/atom

Cell lengths 7.6149, 7.6149, 7.7748 Å; angles 117.70, 117.70, 88.60 degrees
Last column: nearest neighbours and their distance in Å.
Element x y z (fractional)
Te: 0.5000 0.5000 0.5000  4 S 2.61-2.67
Li: 0.5000 0.0000 0.0000  4 S 2.62-2.74
Ho: 0.0000 0.5000 0.0000  6 S 2.73-2.77
S: 0.2848 0.2747 0.5398  1 Te 2.61, 3 Li 2.62-2.86, 1 Ho 2.73
Li: 0.5000 0.5000 0.0000  6 S 2.66-2.86
S: 0.2253 0.2152 0.9602  1 Te 2.61, 3 Li 2.62-2.86, 1 Ho 2.73
S: 0.7747 0.7848 0.0398  1 Te 2.61, 3 Li 2.62-2.86, 1 Ho 2.73
Li: 0.0000 0.0000 0.5000  6 S 2.66-2.86
Ho: 0.0000 0.5000 0.5000  6 S 2.73-2.77
Te: 0.0000 0.0000 0.0000  4 S 2.61-2.67
S: 0.2338 0.7345 0.4668  2 Li 2.66-2.74, 1 Te 2.67, 2 Ho 2.73-2.77
Li: 0.5000 0.0000 0.5000  4 S 2.62-2.74
S: 0.2345 0.7338 0.9668  2 Li 2.66-2.74, 1 Te 2.67, 2 Ho 2.73-2.77
S: 0.7152 0.7253 0.4602  1 Te 2.61, 3 Li 2.62-2.86, 1 Ho 2.73
S: 0.7662 0.2655 0.5332  2 Li 2.66-2.74, 1 Te 2.67, 2 Ho 2.73-2.77
S: 0.7655 0.2662 0.0332  2 Li 2.66-2.74, 1 Te 2.67, 2 Ho 2.73-2.77

---

Here is Rb2CaGaI5 after structural relaxation from the Alexandria database. Energies are from GGA-PBE.

**Spin magnetization**: 0.00 μB/atom
**Crystal system**: orthorhombic
**Raw formation energy**: -1260 meV/atom

Cell lengths 4.8353, 10.7580, 16.6887 Å; angles 90.00, 90.00, 102.99 degrees
Last column: nearest neighbours and their distance in Å.
Element x y z (fractional)
Rb: 0.0851 0.1702 0.6504  6 I 3.62-3.77
I: 0.2601 0.5202 0.6588  2 Ca 3.25
I: 0.3017 0.6034 0.4067  2 Ca 3.22, 1 Ga 3.22
Ga: 0.4515 0.9029 0.4501  4 I 3.17-3.22
Ga: 0.5485 0.0971 0.9501  4 I 3.17-3.22
Rb: 0.8662 0.7324 0.8007  8 I 3.72-4.05
I: 0.3700 0.7400 0.9867  1 Ca 3.12
I: 0.0808 0.1615 0.0701  1 Ca 3.10, 2 Ga 3.21
I: 0.9192 0.8385 0.5701  1 Ca 3.10, 2 Ga 3.21
I: 0.7399 0.4798 0.1588  2 Ca 3.25
Ca: 0.7750 0.5500 0.5297  6 I 3.10-3.25
Rb: 0.9149 0.8298 0.1504  6 I 3.62-3.77
Rb: 0.1338 0.2676 0.3007  8 I 3.72-4.05
I: 0.5011 0.0021 0.2707  1 Ga 3.17
Ca: 0.2250 0.4500 0.0297  6 I 3.10-3.25
I: 0.6300 0.2600 0.4867  1 Ca 3.12
I: 0.6983 0.3966 0.9067  2 Ca 3.22, 1 Ga 3.22
I: 0.4989 0.9979 0.7707  1 Ga 3.17